[1]
Computed, not measured: a relaxed Nb3SiH crystal at the PBE level of DFT.

Calculated values
* total magnetization: 0.0 μB per formula unit
* V: 70 Å³/f.u.
* DFT total energy: -8.080 eV per atom
* space-group type: Pm-3m (221)
* theoretical density: 7.3 Mg/m³

a b c (Å): 4.123 4.123 4.123
angles (deg): 90.00 90.00 90.00
Sites, in units of the cell vectors:
Nb  0.000  0.000  0.500
Nb  0.000  0.500  0.000
Nb  0.500  0.000  0.000
Si  0.500  0.500  0.500
H  0.000  0.000  0.000

***

[2]
Computed, not measured: a relaxed Nb2SiH crystal at the PBE level of DFT.

Calculated values
* total magnetization: 0.0 μB per formula unit
* V: 54 Å³/f.u.
* DFT total energy: -7.423 eV per atom
* space-group type: I-42d (122)
* theoretical density: 6.6 Mg/m³

a b c (Å): 5.200 5.200 5.200
angles (deg): 108.71 108.71 111.01
Sites, in units of the cell vectors:
Nb  0.045  0.625  0.920
Nb  0.375  0.295  0.420
Nb  0.705  0.125  0.080
Nb  0.875  0.955  0.580
Si  0.250  0.750  0.500
Si  0.500  0.500  0.000
H  0.000  0.000  0.000
H  0.750  0.250  0.500

***

[3]
Computed, not measured: a relaxed Nb2SiH crystal at the PBE level of DFT.

Calculated values
* total magnetization: 0.0 μB per formula unit
* V: 68 Å³/f.u.
* DFT total energy: -6.967 eV per atom
* space-group type: R-3m (166)
* theoretical density: 5.2 Mg/m³

a b c (Å): 6.713 6.713 6.713
angles (deg): 30.27 30.27 30.27
Sites, in units of the cell vectors:
Nb  0.093  0.093  0.093
Nb  0.907  0.907  0.907
Si  0.500  0.500  0.500
H  0.000  0.000  0.000

***

[4]
Computed, not measured: a relaxed Nb3SiH crystal at the PBE level of DFT.

Calculated values
* total magnetization: 0.0 μB per formula unit
* V: 71 Å³/f.u.
* DFT total energy: -8.156 eV per atom
* space-group type: P-1 (2)
* theoretical density: 7.2 Mg/m³

a b c (Å): 3.517 5.311 8.425
angles (deg): 105.81 90.25 109.02
Sites, in units of the cell vectors:
Nb  0.094  0.187  0.195
Nb  0.169  0.336  0.621
Nb  0.372  0.737  0.076
Nb  0.628  0.263  0.924
Nb  0.831  0.664  0.379
Nb  0.906  0.813  0.805
Si  0.449  0.902  0.612
Si  0.551  0.098  0.388
H  0.094  0.517  0.850
H  0.906  0.483  0.150

***

[5]
Computed, not measured: a relaxed NbSi3H crystal at the PBE level of DFT.

Calculated values
* total magnetization: 1.1 μB per formula unit
* V: 117 Å³/f.u.
* DFT total energy: -4.911 eV per atom
* space-group type: Pm-3m (221)
* theoretical density: 2.5 Mg/m³

a b c (Å): 4.896 4.896 4.896
angles (deg): 90.00 90.00 90.00
Sites, in units of the cell vectors:
Nb  0.000  0.000  0.000
Si  0.000  0.000  0.500
Si  0.000  0.500  0.000
Si  0.500  0.000  0.000
H  0.500  0.500  0.500

***

[6]
Computed, not measured: a relaxed Nb2SiH crystal at the PBE level of DFT.

Calculated values
* total magnetization: 0.0 μB per formula unit
* V: 56 Å³/f.u.
* DFT total energy: -7.084 eV per atom
* space-group type: Fm-3m (225)
* theoretical density: 6.4 Mg/m³

a b c (Å): 4.297 4.297 4.297
angles (deg): 60.00 60.00 60.00
Sites, in units of the cell vectors:
Nb  0.250  0.250  0.250
Nb  0.750  0.750  0.750
Si  0.000  0.000  0.000
H  0.500  0.500  0.500

***

Question: Which value of DFT total energy does entry 6 give?
Answer: -7.084 eV per atom

***

Question: Which of these has the highest theoretical density?
Answer: number 1